1.
Density functional theory data (PBE-GGA) for Cs2CdGaBr after structural relaxation.

total magnetization: 0.311 μB/atom
raw formation energy: -14 meV per atom

```
data_Cs2CdGaBr
_chemical_formula_sum 'Cs2 Cd1 Ga1 Br1'
_space_group_name_H-M_alt 'P 4/m m m'
_space_group_IT_number 123
_space_group_name_Hall '-P 4 2'
_cell_length_a 7.3323
_cell_length_b 7.3323
_cell_length_c 6.0300
_cell_angle_alpha 90.00
_cell_angle_beta 90.00
_cell_angle_gamma 90.00
loop_
_atom_site_label
_atom_site_fract_x
_atom_site_fract_y
_atom_site_fract_z
Cs1 0.0000 0.5000 0.0000
Cd1 0.0000 0.0000 0.0000
Ga1 0.5000 0.5000 0.5000
Br1 0.0000 0.0000 0.5000
```

=====

2.
Density functional theory data (PBE-GGA) for CsCdGa2Br8 after structural relaxation.

total magnetization: 0.063 μB/atom
raw formation energy: -935 meV per atom

```
data_CsCdGa2Br8
_chemical_formula_sum 'Cs3 Cd3 Ga6 Br24'
_space_group_name_H-M_alt 'R -3'
_space_group_IT_number 148
_space_group_name_Hall '-R 3'
_cell_length_a 7.0945
_cell_length_b 7.0945
_cell_length_c 31.1503
_cell_angle_alpha 90.00
_cell_angle_beta 90.00
_cell_angle_gamma 120.00
loop_
_atom_site_label
_atom_site_fract_x
_atom_site_fract_y
_atom_site_fract_z
Cs1 0.0000 0.0000 0.0000
Cd1 0.0000 0.0000 0.5000
Ga1 0.0000 0.0000 0.2511
Br1 0.0000 0.0000 0.3271
Br2 0.0062 0.6474 0.4400
```

=====

3.
Density functional theory data (PBE-GGA) for Cs2CdGeBr6 after structural relaxation.

total magnetization: 0.000 μB/atom
raw formation energy: -1162 meV per atom

```
data_Cs2CdGeBr6
_chemical_formula_sum 'Cs8 Cd4 Ge4 Br24'
_space_group_name_H-M_alt 'F m -3 m'
_space_group_IT_number 225
_space_group_name_Hall '-F 4 2 3'
_cell_length_a 11.2288
_cell_length_b 11.2288
_cell_length_c 11.2288
_cell_angle_alpha 90.00
_cell_angle_beta 90.00
_cell_angle_gamma 90.00
loop_
_atom_site_label
_atom_site_fract_x
_atom_site_fract_y
_atom_site_fract_z
Cs1 0.2500 0.2500 0.2500
Cd1 0.0000 0.0000 0.0000
Ge1 0.0000 0.0000 0.5000
Br1 0.0000 0.0000 0.2504
```